{
  "formula": "Pm2PrY6Mg",
  "functional": "GGA-PBE",
  "state": "optimized geometry",
  "cell": [[4.621, -7.347, 0.000], [4.621, 7.347, 0.000], [-1.546, 0.000, 9.586]],
  "species": ["Pm", "Pm", "Pm", "Pm", "Pr", "Pr", "Y", "Y", "Y", "Y", "Y", "Y", "Y", "Y", "Y", "Y", "Y", "Y", "Mg", "Mg"],
  "frac_coords": [[0.201, 0.296, 0.056], [0.296, 0.201, 0.556], [0.704, 0.799, 0.444], [0.799, 0.704, 0.944], [0.018, 0.982, 0.250], [0.982, 0.018, 0.750], [0.007, 0.567, 0.188], [0.118, 0.745, 0.555], [0.255, 0.882, 0.945], [0.305, 0.510, 0.390], [0.433, 0.993, 0.312], [0.490, 0.695, 0.110], [0.510, 0.305, 0.890], [0.567, 0.007, 0.688], [0.695, 0.490, 0.610], [0.745, 0.118, 0.055], [0.882, 0.255, 0.445], [0.993, 0.433, 0.812], [0.402, 0.598, 0.750], [0.598, 0.402, 0.250]],
  "dos_ef_per_ev_atom": 1.30,
  "total_magnetization_mub_per_cell": 0.0,
  "dft_energy_ev_per_fu": -53.6,
  "delta_e_f_mev_per_atom": 110
}



{
  "formula": "PmPr2Y4Mg",
  "functional": "GGA-PBE",
  "state": "optimized geometry",
  "cell": [[5.032, 0.000, 0.000], [0.000, 5.032, 0.000], [0.000, 0.000, 10.283]],
  "species": ["Pm", "Pr", "Pr", "Y", "Y", "Y", "Y", "Mg"],
  "frac_coords": [[0.000, 0.000, 0.000], [0.000, 0.000, 0.500], [0.500, 0.500, 0.000], [0.000, 0.500, 0.253], [0.000, 0.500, 0.747], [0.500, 0.000, 0.253], [0.500, 0.000, 0.747], [0.500, 0.500, 0.500]],
  "dos_ef_per_ev_atom": 1.60,
  "total_magnetization_mub_per_cell": 0.1,
  "dft_energy_ev_per_fu": -41.5,
  "delta_e_f_mev_per_atom": 27
}



{
  "formula": "Pm6Pr2YMg",
  "functional": "GGA-PBE",
  "state": "optimized geometry",
  "cell": [[4.652, -7.820, 0.000], [4.652, 7.820, 0.000], [-0.680, 0.000, 9.271]],
  "species": ["Pm", "Pm", "Pm", "Pm", "Pm", "Pm", "Pm", "Pm", "Pm", "Pm", "Pm", "Pm", "Pr", "Pr", "Pr", "Pr", "Y", "Y", "Mg", "Mg"],
  "frac_coords": [[0.004, 0.428, 0.794], [0.142, 0.783, 0.554], [0.217, 0.858, 0.946], [0.272, 0.500, 0.397], [0.428, 0.004, 0.294], [0.500, 0.272, 0.897], [0.500, 0.728, 0.103], [0.572, 0.996, 0.706], [0.728, 0.500, 0.603], [0.783, 0.142, 0.054], [0.858, 0.217, 0.446], [0.996, 0.572, 0.206], [0.214, 0.325, 0.048], [0.325, 0.214, 0.548], [0.675, 0.786, 0.452], [0.786, 0.675, 0.952], [0.022, 0.978, 0.250], [0.978, 0.022, 0.750], [0.421, 0.579, 0.750], [0.579, 0.421, 0.250]],
  "dos_ef_per_ev_atom": 1.28,
  "total_magnetization_mub_per_cell": 0.0,
  "dft_energy_ev_per_fu": -45.1,
  "delta_e_f_mev_per_atom": 106
}



{
  "formula": "PmPrYMg",
  "functional": "GGA-PBE",
  "state": "optimized geometry",
  "cell": [[3.713, 0.000, 0.000], [0.000, 3.713, 0.000], [0.000, 0.000, 9.160]],
  "species": ["Pm", "Pr", "Y", "Mg"],
  "frac_coords": [[0.000, 0.000, 0.000], [0.500, 0.500, 0.277], [0.000, 0.000, 0.551], [0.500, 0.500, 0.769]],
  "dos_ef_per_ev_atom": 1.19,
  "polymorph_energy_mev_per_atom": 0,
  "total_magnetization_mub_per_cell": 0.0,
  "dft_energy_ev_per_fu": -17.7,
  "delta_e_f_mev_per_atom": -40
}